Material: CaCdSeN2
Method: DFT, GGA-PBEsol
State: relaxed

Cell: 4.422 4.422 5.709 Å, 90.00 90.00 90.00°
Space group P4/mmm (No. 123)
Asymmetric unit:
Ca 0.000 0.000 0.000 [1 per cell]
Cd 0.500 0.500 0.500 [1 per cell]
Se 0.000 0.000 0.500 [1 per cell]
N 0.000 0.500 0.000 [2 per cell]

Size of the total moment: 4.27 μB/f.u.
Formation energy without anion corrections: 1.1157 eV per atom
DFT total energy: -18.66 eV per formula unit

=====

Material: FeReTe2
Method: DFT, GGA-PBEsol
State: relaxed

Cell: 3.175 3.175 7.798 Å, 90.00 90.00 90.00°
Space group P4mm (No. 99)
Asymmetric unit:
Fe 0.000 0.000 0.000 [1 per cell]
Re 0.500 0.500 0.199 [1 per cell]
Te 0.000 0.000 0.398 [1 per cell]
Te 0.500 0.500 0.828 [1 per cell]

Relative energy among the computed polymorphs: 0 meV per atom
Size of the total moment: 1.93 μB/f.u.
Formation energy without anion corrections: 0.3082 eV per atom
DFT total energy: -28.12 eV per formula unit

=====

Material: Mg3Fe2Si3O12
Method: DFT, GGA-PBEsol
State: relaxed

Cell: 11.478 11.478 11.478 Å, 90.00 90.00 90.00°
Space group Ia-3d (No. 230)
Asymmetric unit:
Mg 0.000 0.250 0.125 [24 per cell]
Fe 0.000 0.000 0.000 [16 per cell]
Si 0.000 0.250 0.375 [24 per cell]
O 0.032 0.053 0.654 [96 per cell]

Size of the total moment: 2.00 μB/f.u.
Formation energy without anion corrections: -2.3352 eV per atom
DFT total energy: -150.01 eV per formula unit

=====

> The lowest DFT total energy belongs to which entry?

Mg3Fe2Si3O12

=====

What did the first record say?
Material: CaCdSeN2
Method: DFT, GGA-PBEsol
State: relaxed

Cell: 4.422 4.422 5.709 Å, 90.00 90.00 90.00°
Space group P4/mmm (No. 123)
Asymmetric unit:
Ca 0.000 0.000 0.000 [1 per cell]
Cd 0.500 0.500 0.500 [1 per cell]
Se 0.000 0.000 0.500 [1 per cell]
N 0.000 0.500 0.000 [2 per cell]

Size of the total moment: 4.27 μB/f.u.
Formation energy without anion corrections: 1.1157 eV per atom
DFT total energy: -18.66 eV per formula unit

=====

> Look up the formation energy without anion corrections of the third one.

-2.3352 eV per atom

=====

> Which value of DFT total energy does entry 1 give?

-18.66 eV per formula unit